[1]
A plane-wave DFT calculation with GGA-PBE was carried out for SnHg2GeAs4 after structural relaxation.

Geometry as extended XYZ:
```
8
Lattice="-3.081 3.081 5.919 3.081 -3.081 5.919 3.081 3.081 -5.919" Properties=species:S:1:pos:R:3 pbc="T T T"
Ge 0.000 0.000 0.000
As 1.636 1.624 7.333
As 4.705 1.445 -1.414
As -1.624 1.636 4.504
As 1.445 1.457 1.414
Hg 0.000 0.000 5.919
Hg 3.081 0.000 2.959
Sn 0.000 3.081 2.959
```

Computed properties:
The volume comes out at 224.7 Å³/cell. The calculation puts the uncorrected energy at -3.474 eV per atom.

=====

[2]
A plane-wave DFT calculation with GGA-PBE was carried out for HoGeAs after structural relaxation.

Geometry as extended XYZ:
```
3
Lattice="0.498 -4.650 0.686 -1.307 -1.936 4.110 -3.817 -2.782 0.194" Properties=species:S:1:pos:R:3 pbc="T T T"
Ge -1.156 -2.342 1.248
As 0.000 0.000 0.000
Ho -3.469 -7.026 3.743
```

Computed properties:
The volume comes out at 74.7 Å³/cell. The energy above the most stable polymorph in this dataset comes out at 0.00 kcal/mol of atoms. The calculation puts the uncorrected energy at -4.982 eV per atom. Its total magnetization is 0.00 μB/cell.

=====

[3]
A plane-wave DFT calculation with GGA-PBE was carried out for Zn2GeAs4I after structural relaxation.

Geometry as extended XYZ:
```
8
Lattice="-2.850 2.850 6.806 2.850 -2.850 6.806 2.850 2.850 -6.806" Properties=species:S:1:pos:R:3 pbc="T T T"
I 0.000 0.000 0.000
As -0.877 0.899 4.646
As 0.899 0.877 8.965
As 3.727 1.951 -2.160
As 1.951 1.973 2.160
Zn 0.000 2.850 3.403
Zn 0.000 0.000 6.806
Ge 2.850 0.000 3.403
```

Computed properties:
The volume comes out at 221.1 Å³/cell. The calculation puts the uncorrected energy at -3.366 eV per atom.

=====

[4]
A plane-wave DFT calculation with GGA-PBE was carried out for GeAsIr after structural relaxation.

Geometry as extended XYZ:
```
3
Lattice="1.882 -3.678 -0.962 -1.853 -2.685 -2.712 1.652 -0.591 -3.862" Properties=species:S:1:pos:R:3 pbc="T T T"
As 0.420 -1.738 -1.884
Ge 1.261 -5.215 -5.652
Ir 0.000 0.000 0.000
```

Computed properties:
The volume comes out at 54.0 Å³/cell. The energy above the most stable polymorph in this dataset comes out at 0.00 kcal/mol of atoms. The calculation puts the uncorrected energy at -6.247 eV per atom. Its total magnetization is 0.00 μB/cell.

=====

[5]
A plane-wave DFT calculation with GGA-PBE was carried out for GeAsIr after structural relaxation.

Geometry as extended XYZ:
```
3
Lattice="0.000 3.025 3.025 3.025 0.000 3.025 3.025 3.025 0.000" Properties=species:S:1:pos:R:3 pbc="T T T"
As 1.512 1.512 1.512
Ir 4.537 4.537 4.537
Ge 0.000 0.000 0.000
```

Computed properties:
The volume comes out at 55.3 Å³/cell. The energy above the most stable polymorph in this dataset comes out at 13.84 kcal/mol of atoms. The calculation puts the uncorrected energy at -5.647 eV per atom. Its total magnetization is 0.01 μB/cell.

=====

[6]
A plane-wave DFT calculation with GGA-PBE was carried out for GeAs2Ir after structural relaxation.

Geometry as extended XYZ:
```
4
Lattice="0.000 3.234 3.234 3.234 0.000 3.234 3.234 3.234 0.000" Properties=species:S:1:pos:R:3 pbc="T T T"
Ir 3.234 3.234 3.234
As 1.617 1.617 1.617
As 0.000 0.000 0.000
Ge 4.852 4.852 4.852
```

Computed properties:
The volume comes out at 67.7 Å³/cell. The calculation puts the uncorrected energy at -5.310 eV per atom. Its total magnetization is 0.00 μB/cell.

=====

[7]
A plane-wave DFT calculation with GGA-PBE was carried out for GeAs3Ir after structural relaxation.

Geometry as extended XYZ:
```
10
Lattice="3.691 2.131 3.882 -3.691 2.131 3.882 0.000 -4.262 3.882" Properties=species:S:1:pos:R:3 pbc="T T T"
As -1.255 -2.131 4.852
As 2.473 -0.021 4.852
As 1.218 -2.152 6.793
As -2.473 0.021 6.793
As -1.218 2.152 4.852
As 1.255 2.131 6.793
Ir 0.000 0.000 2.911
Ir 0.000 0.000 8.734
Ge 0.000 0.000 5.823
Ge 0.000 0.000 0.000
```

Computed properties:
The volume comes out at 183.2 Å³/cell. The calculation puts the uncorrected energy at -5.219 eV per atom. Its total magnetization is 0.00 μB/cell.

=====

[8]
A plane-wave DFT calculation with GGA-PBE was carried out for GeAsIr2 after structural relaxation.

Geometry as extended XYZ:
```
8
Lattice="3.718 0.000 0.000 0.000 6.192 0.000 0.000 0.000 5.595" Properties=species:S:1:pos:R:3 pbc="T T T"
As 0.000 5.157 3.841
As 0.000 1.035 1.043
Ir 1.859 0.287 2.848
Ir 1.859 5.905 0.051
Ir 0.000 3.407 5.580
Ir 0.000 2.785 2.782
Ge 1.859 4.077 1.719
Ge 1.859 2.115 4.516
```

Computed properties:
The volume comes out at 128.8 Å³/cell. The calculation puts the uncorrected energy at -7.046 eV per atom. Its total magnetization is 0.00 μB/cell.